[1]
# LiMgCdIn

An optimized crystal structure of LiMgCdIn (GGA-PBE, Alexandria via LeMat-Bulk).

Summary:
- mass density (kg/m³) = 5105
- symmetry = I-4m2
- magnetic moment (μB/atom) = 0.00
- formation energy (eV per atom) = -0.186

Geometry as CIF:
```
data_LiMgCdIn
_cell_length_a 4.614
_cell_length_b 4.614
_cell_length_c 5.122
_cell_angle_alpha 116.76
_cell_angle_beta 116.77
_cell_angle_gamma 90.00
_space_group_name_H-M_alt 'P 1'
_space_group_IT_number 1
loop_
_space_group_symop_operation_xyz
'x,y,z'
loop_
_atom_site_label
_atom_site_fract_x
_atom_site_fract_y
_atom_site_fract_z
Mg1 0.250 0.750 0.500
Li1 0.750 0.250 0.500
Cd1 0.000 0.000 0.000
In1 0.500 0.500 0.000
```

***

[2]
# LiMg5Cd2In

An optimized crystal structure of LiMg5Cd2In (GGA-PBE, Alexandria via LeMat-Bulk).

Summary:
- mass density (kg/m³) = 3687
- symmetry = I4/mcm
- magnetic moment (μB/atom) = 0.00
- formation energy (eV per atom) = 0.041

Geometry as CIF:
```
data_LiMg5Cd2In
_cell_length_a 8.079
_cell_length_b 8.079
_cell_length_c 8.624
_cell_angle_alpha 117.93
_cell_angle_beta 117.93
_cell_angle_gamma 90.00
_space_group_name_H-M_alt 'P 1'
_space_group_IT_number 1
loop_
_space_group_symop_operation_xyz
'x,y,z'
loop_
_atom_site_label
_atom_site_fract_x
_atom_site_fract_y
_atom_site_fract_z
Mg1 0.000 0.000 0.000
Mg2 0.161 0.067 0.728
Mg3 0.433 0.339 0.272
Mg4 0.661 0.161 0.728
Mg5 0.500 0.500 0.000
Mg6 0.067 0.567 0.728
Mg7 0.339 0.839 0.272
Mg8 0.933 0.433 0.272
Mg9 0.567 0.661 0.728
Mg10 0.839 0.933 0.272
Cd1 0.616 0.116 0.000
Cd2 0.884 0.616 0.000
Cd3 0.384 0.884 0.000
Cd4 0.116 0.384 0.000
Li1 0.750 0.250 0.500
Li2 0.250 0.750 0.500
In1 0.250 0.250 0.500
In2 0.750 0.750 0.500
```

***

[3]
# Li2MgCd2In4

An optimized crystal structure of Li2MgCd2In4 (GGA-PBE, Alexandria via LeMat-Bulk).

Summary:
- mass density (kg/m³) = 5915
- symmetry = C2/m
- magnetic moment (μB/atom) = 0.00
- formation energy (eV per atom) = -0.123

Geometry as CIF:
```
data_Li2MgCd2In4
_cell_length_a 3.708
_cell_length_b 7.609
_cell_length_c 7.565
_cell_angle_alpha 101.25
_cell_angle_beta 90.00
_cell_angle_gamma 104.10
_space_group_name_H-M_alt 'P 1'
_space_group_IT_number 1
loop_
_space_group_symop_operation_xyz
'x,y,z'
loop_
_atom_site_label
_atom_site_fract_x
_atom_site_fract_y
_atom_site_fract_z
Cd1 0.661 0.323 0.966
Cd2 0.339 0.677 0.034
Li1 0.118 0.236 0.652
Li2 0.882 0.764 0.348
In1 0.543 0.086 0.329
In2 0.457 0.914 0.671
In3 0.784 0.569 0.678
In4 0.216 0.431 0.322
Mg1 0.000 0.000 0.000
```

***

[4]
# Li2MgCdIn

An optimized crystal structure of Li2MgCdIn (GGA-PBE, Alexandria via LeMat-Bulk).

Summary:
- mass density (kg/m³) = 4210
- symmetry = Cmcm
- magnetic moment (μB/atom) = 0.00
- formation energy (eV per atom) = -0.166

Geometry as CIF:
```
data_Li2MgCdIn
_cell_length_a 4.749
_cell_length_b 5.633
_cell_length_c 8.631
_cell_angle_alpha 90.00
_cell_angle_beta 90.00
_cell_angle_gamma 114.93
_space_group_name_H-M_alt 'P 1'
_space_group_IT_number 1
loop_
_space_group_symop_operation_xyz
'x,y,z'
loop_
_atom_site_label
_atom_site_fract_x
_atom_site_fract_y
_atom_site_fract_z
In1 0.311 0.621 0.750
In2 0.689 0.379 0.250
Cd1 0.029 0.058 0.750
Cd2 0.971 0.942 0.250
Li1 0.191 0.382 0.056
Li2 0.191 0.382 0.444
Li3 0.809 0.618 0.944
Li4 0.809 0.618 0.556
Mg1 0.500 0.000 0.500
Mg2 0.500 0.000 0.000
```